Ba3TmN3 | PBE | relaxed

Cell: 8.4203 8.4203 5.8323 Å, 90.00 90.00 120.00°
Last column: nearest neighbours and their distance in Å.
Space group P6_3/m (No. 176)
Asymmetric unit:
Ba  0.0853  0.3447  0.2500 [6 per cell]  4 N 2.64-2.93
Tm  0.3333  0.6667  0.7500 [2 per cell]  3 N 2.18
N  0.1105  0.3818  0.7500 [6 per cell]  1 Tm 2.18

Calculated values
As for the total energy: -5.508 eV/atom.